[1]
Hf6TlOs: optimized geometry, PBE.

Unit cell a=6.320 b=10.686 c=6.236 alpha=90.00 beta=119.20 gamma=90.00
Atoms (fractional coordinates):
Hf: 0.233 0.214 0.237
Hf: 0.233 0.786 0.237
Hf: 0.237 0.000 0.767
Hf: 0.263 0.500 0.233
Hf: 0.267 0.286 0.763
Hf: 0.267 0.714 0.763
Hf: 0.733 0.286 0.237
Hf: 0.733 0.714 0.237
Hf: 0.737 0.500 0.767
Hf: 0.763 0.000 0.233
Hf: 0.767 0.214 0.763
Hf: 0.767 0.786 0.763
Tl: 0.000 0.500 0.500
Tl: 0.500 0.000 0.500
Os: 0.000 0.000 0.000
Os: 0.500 0.500 0.000

Summary:
For the calculated formation energy, the calculation gives 0.363 eV per atom. For the calculated total energy, the calculation gives -8.802 eV/atom.



[2]
Tm8TcAg2: optimized geometry, PBE.

Unit cell a=8.912 b=8.912 c=6.814 alpha=107.78 beta=107.78 gamma=33.62
Atoms (fractional coordinates):
Tm: 0.027 0.027 0.296
Tm: 0.195 0.195 0.796
Tm: 0.339 0.339 0.537
Tm: 0.408 0.408 0.069
Tm: 0.592 0.592 0.931
Tm: 0.661 0.661 0.463
Tm: 0.805 0.805 0.204
Tm: 0.973 0.973 0.704
Tc: 0.500 0.500 0.500
Ag: 0.183 0.183 0.204
Ag: 0.817 0.817 0.796

Summary:
For the calculated formation energy, the calculation gives -0.150 eV per atom. The value obtained for the polymorph energy (0 for the lowest one) is 0 meV/atom. For the calculated total energy, the calculation gives -4.863 eV/atom.



Copy entry 2 word for word.
Tm8TcAg2: optimized geometry, PBE.

Unit cell a=8.912 b=8.912 c=6.814 alpha=107.78 beta=107.78 gamma=33.62
Atoms (fractional coordinates):
Tm: 0.027 0.027 0.296
Tm: 0.195 0.195 0.796
Tm: 0.339 0.339 0.537
Tm: 0.408 0.408 0.069
Tm: 0.592 0.592 0.931
Tm: 0.661 0.661 0.463
Tm: 0.805 0.805 0.204
Tm: 0.973 0.973 0.704
Tc: 0.500 0.500 0.500
Ag: 0.183 0.183 0.204
Ag: 0.817 0.817 0.796

Summary:
For the calculated formation energy, the calculation gives -0.150 eV per atom. The value obtained for the polymorph energy (0 for the lowest one) is 0 meV/atom. For the calculated total energy, the calculation gives -4.863 eV/atom.



Question: Look up the calculated formation energy of the first one.
Answer: 0.363 eV per atom



Question: Among the records above, which one has the highest calculated total energy?
Answer: Tm8TcAg2



Question: Among the records above, which one has the lowest calculated formation energy?
Answer: Tm8TcAg2